1.
BeRuCl2 | GGA-PBEsol | optimized geometry

calculated volume	62.4	Å³ per cell
magnetic moment	0.00	μB per formula unit
energy relative to the lowest polymorph listed for this composition	0	meV per atom

a b c (Å): 2.991 2.991 6.972
angles (deg): 90.00 90.00 90.00
Space group P4mm (No. 99)
Unique sites:
1 Be 0.000 0.000 0.000 x1
2 Ru 0.500 0.500 0.849 x1
3 Cl 0.000 0.000 0.614 x1
4 Cl 0.500 0.500 0.187 x1



2.
HoScB2O6 | GGA-PBEsol | optimized geometry

calculated volume	322.0	Å³ per cell
magnetic moment	0.00	μB per formula unit

a b c (Å): 4.8556 4.8556 15.7717
angles (deg): 90.00 90.00 120.00
Space group R-3 (No. 148, hexagonal axes)
Unique sites:
1 Ho 0.0000 0.0000 0.0000 x3
2 Sc 0.0000 0.0000 0.5000 x3
3 B 0.0000 0.0000 0.2455 x6
4 O 0.0169 0.2929 0.2468 x18



So what do the calculations give for energy relative to the elements, uncorrected? Going down the list: -0.008, -3.095 eV/atom.